Here is an optimized crystal structure of RbAg2F4 from Alexandria via LeMat-Bulk. Energies are from PBE.

Cell lengths 6.726, 6.726, 11.744 Å; angles 90.00, 90.00, 90.00 degrees
Space group I4_1/a (No. 88, origin choice 2)
Unique sites:
Rb: 0.000 0.250 0.125 (multiplicity 4)
Ag: 0.000 0.000 0.500 (multiplicity 8)
F: 0.132 0.024 0.328 (multiplicity 16)

## Properties
Magnetization, μB per formula unit: 0.00
DOS(E_F), states/eV/atom: 0.659
Uncorrected energy, eV per formula unit: -25.33
Polymorph energy (0 for the lowest one), meV per atom: 0



Here is an optimized crystal structure of CeHgRh from Alexandria via LeMat-Bulk. Energies are from PBE.

Cell lengths 6.675, 6.675, 6.675 Å; angles 90.00, 90.00, 90.00 degrees
Space group F-43m (No. 216)
Unique sites:
Ce: 0.000 0.000 0.000 (multiplicity 4)
Hg: 0.000 0.000 0.500 (multiplicity 4)
Rh: 0.250 0.250 0.250 (multiplicity 4)

## Properties
Magnetization, μB per formula unit: 0.83
DOS(E_F), states/eV/atom: 2.228
Uncorrected energy, eV per formula unit: -14.89



Here is an optimized crystal structure of PbSe2Cl from Alexandria via LeMat-Bulk. Energies are from PBE.

Cell lengths 3.2546, 3.2546, 31.3414 Å; angles 90.00, 90.00, 120.00 degrees
Space group R-3m (No. 166, hexagonal axes)
Unique sites:
Pb: 0.0000 0.0000 0.0000 (multiplicity 3)
Se: 0.0000 0.0000 0.0928 (multiplicity 6)
Cl: 0.0000 0.0000 0.5000 (multiplicity 3)

## Properties
Magnetization, μB per formula unit: 0.00
DOS(E_F), states/eV/atom: 0.817
Uncorrected energy, eV per formula unit: -10.93
Polymorph energy (0 for the lowest one), meV per atom: 823



Here is an optimized crystal structure of ZrAlSi2 from Alexandria via LeMat-Bulk. Energies are from PBE.

Cell lengths 5.285, 10.400, 5.114 Å; angles 90.00, 90.00, 90.00 degrees
Space group Pna2_1 (No. 33)
Unique sites:
Zr: 0.223 0.152 0.000 (multiplicity 4)
Al: 0.035 0.366 0.503 (multiplicity 4)
Si: 0.034 0.102 0.499 (multiplicity 4)
Si: 0.218 0.412 0.006 (multiplicity 4)

## Properties
Magnetization, μB per formula unit: 0.00
DOS(E_F), states/eV/atom: 0.337
Uncorrected energy, eV per formula unit: -23.77



Here is an optimized crystal structure of Ce4Si2Pt from Alexandria via LeMat-Bulk. Energies are from PBE.

Cell lengths 4.7416, 4.7416, 27.8602 Å; angles 90.00, 90.00, 120.00 degrees
Space group R-3m (No. 166, hexagonal axes)
Unique sites:
Ce: 0.0000 0.0000 0.1199 (multiplicity 6)
Ce: 0.0000 0.0000 0.3037 (multiplicity 6)
Si: 0.0000 0.0000 0.4099 (multiplicity 6)
Pt: 0.0000 0.0000 0.5000 (multiplicity 3)

## Properties
Magnetization, μB per formula unit: 4.15
DOS(E_F), states/eV/atom: 2.979
Uncorrected energy, eV per formula unit: -44.24



Here is an optimized crystal structure of As2IrSe from Alexandria via LeMat-Bulk. Energies are from PBE.

Cell lengths 6.210, 6.210, 10.117 Å; angles 90.00, 90.00, 90.00 degrees
Space group I-42d (No. 122)
Unique sites:
As: 0.204 0.250 0.125 (multiplicity 8)
Ir: 0.000 0.000 0.000 (multiplicity 4)
Se: 0.000 0.000 0.500 (multiplicity 4)

## Properties
Magnetization, μB per formula unit: 0.00
DOS(E_F), states/eV/atom: 0.817
Uncorrected energy, eV per formula unit: -21.20